[1]
! DyNF | Alexandria | PBE | relaxed; values from VASP
! Total moment = 0.00 μB/f.u.
! ΔE_f (raw) = -2.429 eV per atom
! DFT total energy = -22.1 eV/f.u.
! Symmetry = C2/m (12)
&SYSTEM
  ibrav = 0, nat = 6, ntyp = 3
/
ATOMIC_SPECIES
F 19.00 F.upf
N 14.01 N.upf
Dy 162.50 Dy.upf
ATOMIC_POSITIONS angstrom
F -2.753 -0.187 -1.039
F -3.293 2.524 3.962
N -2.414 2.186 0.428
Dy -4.332 2.285 1.759
N -3.632 0.151 2.495
Dy -1.715 0.052 1.164
CELL_PARAMETERS angstrom
-1.841 1.995 -2.801
-1.294 -3.322 1.200
-2.912 3.665 4.524


[2]
! La12TbDy7 | Alexandria | PBE | relaxed; values from VASP
! Total moment = 0.00 μB/f.u.
! Formation enthalpy at 0 K = 0.19 eV/atom
! DFT total energy = -92.1 eV/f.u.
! Symmetry = R-3m (166)
&SYSTEM
  ibrav = 0, nat = 20, ntyp = 3
/
ATOMIC_SPECIES
Dy 162.50 Dy.upf
La 138.91 La.upf
Tb 158.93 Tb.upf
ATOMIC_POSITIONS angstrom
Dy 9.065 -1.412 -5.387
La 6.940 -3.729 3.475
Tb 0.000 0.000 0.000
Dy 1.827 -3.106 -7.764
La 7.486 -4.337 -4.898
Dy 8.159 -2.468 6.366
La 4.439 -6.425 -3.630
La 2.501 -1.237 3.501
Dy 7.673 -3.546 -1.348
La 4.431 -3.398 -2.304
Dy 0.921 -4.162 3.990
La 9.088 -0.246 4.023
La 7.257 -0.382 -2.401
La 0.899 -5.328 -5.421
La 3.047 -1.844 -4.872
La 2.730 -5.191 1.004
La 5.547 0.851 2.232
La 5.556 -2.176 0.906
Dy 2.314 -2.028 -0.050
Dy -0.709 -2.815 1.316
CELL_PARAMETERS angstrom
-1.417 -5.629 2.632
2.640 -3.274 -10.727
8.764 3.330 6.697


[3]
! LaCo2RuPt | Alexandria | PBE | relaxed; values from VASP
! Total moment = 4.48 μB/f.u.
! Formation enthalpy at 0 K = 0.79 eV/atom
! DFT total energy = -30.5 eV/f.u.
! Symmetry = P4/mmm (123)
&SYSTEM
  ibrav = 0, nat = 5, ntyp = 4
/
ATOMIC_SPECIES
Co 58.93 Co.upf
Ru 101.07 Ru.upf
La 138.91 La.upf
Pt 195.08 Pt.upf
ATOMIC_POSITIONS angstrom
Co 0.459 1.103 1.930
Ru 0.000 0.000 0.000
La -2.564 0.188 0.503
Pt -2.178 3.268 1.320
Co -0.073 1.977 -1.112
CELL_PARAMETERS angstrom
-0.146 3.954 -2.225
-5.127 0.376 1.006
0.919 2.206 3.859


[4]
! Er2Tm2Ni3 | Alexandria | PBE | relaxed; values from VASP
! Total moment = 0.00 μB/f.u.
! Formation enthalpy at 0 K = -0.36 eV/atom
! DFT total energy = -37.9 eV/f.u.
! Symmetry = C2/m (12)
&SYSTEM
  ibrav = 0, nat = 7, ntyp = 3
/
ATOMIC_SPECIES
Er 167.26 Er.upf
Tm 168.93 Tm.upf
Ni 58.69 Ni.upf
ATOMIC_POSITIONS angstrom
Er -2.114 -2.010 4.827
Tm -1.070 0.461 2.407
Ni 0.000 0.000 0.000
Er -3.004 3.461 1.710
Ni -3.252 -1.283 2.375
Tm -4.048 0.991 4.130
Ni -1.866 2.735 4.162
CELL_PARAMETERS angstrom
-3.707 -0.034 -1.635
-0.503 -3.676 6.227
-0.908 5.162 1.945


[5]
! K2NbTlI | Alexandria | PBE | relaxed; values from VASP
! Total moment = 4.46 μB/f.u.
! ΔE_f (raw) = 0.977 eV per atom
! DFT total energy = -11.3 eV/f.u.
! Symmetry = P4/mmm (123)
&SYSTEM
  ibrav = 0, nat = 5, ntyp = 4
/
ATOMIC_SPECIES
Nb 92.91 Nb.upf
K 39.10 K.upf
I 126.90 I.upf
Tl 204.38 Tl.upf
ATOMIC_POSITIONS angstrom
Nb 3.360 3.133 3.360
K 0.000 0.000 3.360
K 3.360 0.000 0.000
I 0.000 3.133 0.000
Tl 0.000 0.000 0.000
CELL_PARAMETERS angstrom
6.719 0.000 0.000
0.000 6.266 0.000
0.000 0.000 6.719


[6]
! As2OsW | Alexandria | PBE | relaxed; values from VASP
! Relative energy among the computed polymorphs = 635.9 meV/atom
! Total moment = 0.00 μB/f.u.
! Formation enthalpy at 0 K = 0.71 eV/atom
! DFT total energy = -30.6 eV/f.u.
! Symmetry = Cmmm (65)
&SYSTEM
  ibrav = 0, nat = 4, ntyp = 3
/
ATOMIC_SPECIES
As 74.92 As.upf
Os 190.23 Os.upf
W 183.84 W.upf
ATOMIC_POSITIONS angstrom
As 0.000 0.000 0.033
Os 0.793 1.316 2.043
As 0.000 0.000 4.053
W 0.793 1.316 6.128
CELL_PARAMETERS angstrom
3.000 -0.015 0.000
-1.414 2.646 0.000
0.000 0.000 8.171


[7]
! TbEr10Th4 | Alexandria | PBE | relaxed; values from VASP
! Total moment = 0.00 μB/f.u.
! Formation enthalpy at 0 K = 0.30 eV/atom
! DFT total energy = -75.5 eV/f.u.
! Symmetry = I4/mmm (139)
&SYSTEM
  ibrav = 0, nat = 15, ntyp = 3
/
ATOMIC_SPECIES
Er 167.26 Er.upf
Th 232.04 Th.upf
Tb 158.93 Tb.upf
ATOMIC_POSITIONS angstrom
Er -1.583 -9.095 -9.663
Th -4.369 -10.909 -8.503
Th 0.414 -1.318 -5.628
Er -2.372 -3.132 -4.468
Th 0.894 -6.739 -9.756
Th -4.849 -5.488 -4.376
Er -0.156 -2.302 -2.296
Er -1.740 -4.470 -10.310
Er -4.430 -8.588 -5.993
Tb 0.000 0.000 0.000
Er 0.476 -3.640 -8.138
Er -2.215 -7.758 -3.821
Er -3.799 -9.925 -11.836
Er -0.646 -5.615 -5.760
Er -3.309 -6.613 -8.371
CELL_PARAMETERS angstrom
-5.327 -1.995 -5.222
2.995 -1.579 -8.161
-1.623 -8.653 -0.748


[8]
! VRuBr2 | Alexandria | PBE | relaxed; values from VASP
! Relative energy among the computed polymorphs = 61.9 meV/atom
! Total moment = 1.06 μB/f.u.
! ΔE_f (raw) = 0.483 eV per atom
! DFT total energy = -19.8 eV/f.u.
! Symmetry = I-42d (122)
&SYSTEM
  ibrav = 0, nat = 8, ntyp = 3
/
ATOMIC_SPECIES
Ru 101.07 Ru.upf
V 50.94 V.upf
Br 79.90 Br.upf
ATOMIC_POSITIONS angstrom
Ru 4.538 2.269 3.927
V 2.269 2.269 0.000
Ru 0.000 0.000 0.000
Br 3.404 3.407 5.891
Br 3.401 1.135 1.964
Br 5.673 5.670 5.891
V 2.269 4.538 3.927
Br 1.138 3.404 1.964
CELL_PARAMETERS angstrom
4.538 0.000 0.000
0.000 4.538 0.000
2.269 2.269 7.854


[9]
! Cs2LiIn2F6 | Alexandria | PBE | relaxed; values from VASP
! Total moment = 0.00 μB/f.u.
! ΔE_f (raw) = -2.336 eV per atom
! DFT total energy = -46.0 eV/f.u.
! Symmetry = C2/m (12)
&SYSTEM
  ibrav = 0, nat = 11, ntyp = 4
/
ATOMIC_SPECIES
Cs 132.91 Cs.upf
In 114.82 In.upf
F 19.00 F.upf
Li 6.94 Li.upf
ATOMIC_POSITIONS angstrom
Cs 0.000 1.778 5.271
In 0.000 -0.257 1.512
F 3.597 1.947 4.167
F 0.000 1.772 2.058
F 4.979 -0.571 1.430
F 1.383 4.291 4.795
Li 3.597 -1.242 2.643
Cs 3.597 1.941 0.954
F -1.383 4.291 4.795
F 2.214 -0.571 1.430
In 3.597 3.976 4.713
CELL_PARAMETERS angstrom
7.193 0.000 0.000
-3.597 6.204 0.938
0.000 -2.484 5.287


[10]
! Ta2ZnCu | Alexandria | PBE | relaxed; values from VASP
! Total moment = 0.00 μB/f.u.
! Formation enthalpy at 0 K = 0.08 eV/atom
! DFT total energy = -28.8 eV/f.u.
! Symmetry = I4/mmm (139)
&SYSTEM
  ibrav = 0, nat = 4, ntyp = 3
/
ATOMIC_SPECIES
Zn 65.41 Zn.upf
Cu 63.55 Cu.upf
Ta 180.95 Ta.upf
ATOMIC_POSITIONS angstrom
Zn 0.733 2.292 1.420
Cu 2.406 -0.004 1.420
Ta 3.138 2.288 0.000
Ta 0.000 0.000 0.000
CELL_PARAMETERS angstrom
4.812 -0.007 0.000
1.465 4.583 0.000
-3.138 -2.288 2.840


[11]
! BaCaHg2 | Alexandria | PBE | relaxed; values from VASP
! Total moment = 0.00 μB/f.u.
! Formation enthalpy at 0 K = -0.32 eV/atom
! DFT total energy = -5.8 eV/f.u.
! Symmetry = I-4m2 (119)
&SYSTEM
  ibrav = 0, nat = 4, ntyp = 3
/
ATOMIC_SPECIES
Hg 200.59 Hg.upf
Ca 40.08 Ca.upf
Ba 137.33 Ba.upf
ATOMIC_POSITIONS angstrom
Hg 1.611 2.932 1.713
Hg 0.000 0.000 0.000
Ca 3.346 -0.023 1.713
Ba 4.957 2.909 0.000
CELL_PARAMETERS angstrom
6.691 -0.047 0.000
3.223 5.864 0.000
-4.957 -2.909 3.426


[12]
! PdRuPt | Alexandria | PBE | relaxed; values from VASP
! Relative energy among the computed polymorphs = 2.6 meV/atom
! Total moment = 0.00 μB/f.u.
! Formation enthalpy at 0 K = 0.07 eV/atom
! DFT total energy = -20.3 eV/f.u.
! Symmetry = Cm (8)
&SYSTEM
  ibrav = 0, nat = 12, ntyp = 3
/
ATOMIC_SPECIES
Pd 106.42 Pd.upf
Ru 101.07 Ru.upf
Pt 195.08 Pt.upf
ATOMIC_POSITIONS angstrom
Pd -1.032 0.492 3.350
Pd 2.444 3.720 2.610
Ru 2.872 0.995 2.731
Ru 4.328 2.542 1.061
Pt 4.414 5.489 3.631
Ru 0.851 -0.686 1.801
Ru 6.349 4.223 1.990
Pt 0.534 1.984 1.602
Pd 2.871 3.983 5.361
Pt 0.937 2.261 4.372
Pd -1.382 3.264 3.250
Pt 4.786 2.702 3.713
CELL_PARAMETERS angstrom
-3.827 2.438 3.188
0.776 -2.510 2.851
7.729 3.946 1.371